Material: Y4AlCu2
Method: DFT, GGA-PBE
State: relaxed

- excess energy over the best structure of this formula in the dataset (meV/atom) = 0.0
- spin magnetization (μB per cell) = 0.0
- SG = No. 166
- calculated formation energy (kcal/mol of atoms) = -3.9
- E_tot (eV per cell) = -39.0

Cell lengths 4.9547, 4.9547, 8.4568 Å; angles 72.97, 72.97, 60.00 degrees
Atoms (fractional coordinates):
Y: 0.3823 0.3823 0.8532
Y: 0.1291 0.1291 0.6128
Y: 0.6177 0.6177 0.1468
Y: 0.8709 0.8709 0.3872
Cu: 0.7433 0.7433 0.7700
Cu: 0.2567 0.2567 0.2300
Al: 0.0000 0.0000 0.0000

Material: TeOsPbN2
Method: DFT, GGA-PBE
State: relaxed

- excess energy over the best structure of this formula in the dataset (meV/atom) = 0.0
- spin magnetization (μB per cell) = 0.0
- SG = No. 123
- E_tot (eV per cell) = -30.3

Cell lengths 4.1008, 4.1008, 5.8304 Å; angles 90.00, 90.00, 90.00 degrees
Atoms (fractional coordinates):
Os: 0.0000 0.0000 0.0000
Pb: 0.5000 0.5000 0.5000
Te: 0.0000 0.0000 0.5000
N: 0.0000 0.5000 0.0000
N: 0.5000 0.0000 0.0000

Q: Which of these has the lowest E_tot?
A: Y4AlCu2